Below is a relaxed structure of Ca2LaAgRh, with properties calculated at the PBE level.

magnetic moment: 0.00 μB per cell
calculated formation energy: -0.24 eV per atom
space-group type: P4/mmm

a = 5.518 Å, b = 5.518 Å, c = 5.377 Å
α = 90.00°, β = 90.00°, γ = 90.00°
Sites, in units of the cell vectors:
Ca: 0.000 0.500 0.000
Ca: 0.500 0.000 0.000
La: 0.000 0.000 0.500
Ag: 0.500 0.500 0.500
Rh: 0.000 0.000 0.000


Below is a relaxed structure of CeSbAs, with properties calculated at the PBE level.

magnetic moment: 0.84 μB per cell
offset from the most stable computed form: 190.4 meV per atom
space-group type: Pmn2_1

a = 3.947 Å, b = 4.176 Å, c = 9.949 Å
α = 90.00°, β = 90.00°, γ = 90.00°
Sites, in units of the cell vectors:
Ce: 0.000 0.151 0.000
Ce: 0.500 0.849 0.500
Sb: 0.000 0.384 0.677
Sb: 0.500 0.616 0.177
As: 0.000 0.346 0.405
As: 0.500 0.654 0.905


Below is a relaxed structure of NiGeOs3, with properties calculated at the PBE level.

magnetic moment: 0.00 μB per cell
calculated formation energy: 2.02 eV per atom
offset from the most stable computed form: 86.0 meV per atom
space-group type: Pm-3m

a = 4.478 Å, b = 4.478 Å, c = 4.478 Å
α = 90.00°, β = 90.00°, γ = 90.00°
Sites, in units of the cell vectors:
Ni: 0.000 0.000 0.000
Ge: 0.500 0.500 0.500
Os: 0.000 0.500 0.500
Os: 0.500 0.000 0.500
Os: 0.500 0.500 0.000


Below is a relaxed structure of ScB2S, with properties calculated at the PBE level.

magnetic moment: 0.00 μB per cell
E_tot: -91.22 eV/cell
space-group type: I-42d

a = 5.715 Å, b = 5.715 Å, c = 6.148 Å
α = 90.00°, β = 90.00°, γ = 90.00°
Sites, in units of the cell vectors:
Sc: 0.000 0.000 0.000
Sc: 0.000 0.500 0.250
Sc: 0.500 0.000 0.750
Sc: 0.500 0.500 0.500
B: 0.175 0.250 0.625
B: 0.250 0.675 0.875
B: 0.250 0.825 0.375
B: 0.325 0.250 0.125
B: 0.675 0.750 0.125
B: 0.750 0.175 0.375
B: 0.750 0.325 0.875
B: 0.825 0.750 0.625
S: 0.000 0.000 0.500
S: 0.000 0.500 0.750
S: 0.500 0.000 0.250
S: 0.500 0.500 0.000


Below is a relaxed structure of BaSmHg6, with properties calculated at the PBE level.

magnetic moment: 0.00 μB per cell
calculated formation energy: -0.36 eV per atom
space-group type: Amm2

a = 5.208 Å, b = 7.012 Å, c = 12.183 Å
α = 90.00°, β = 90.00°, γ = 90.00°
Sites, in units of the cell vectors:
Ba: 0.000 0.000 0.000
Ba: 0.000 0.500 0.500
Sm: 0.500 0.000 0.329
Sm: 0.500 0.500 0.829
Hg: 0.000 0.000 0.492
Hg: 0.000 0.247 0.251
Hg: 0.000 0.253 0.751
Hg: 0.000 0.500 0.992
Hg: 0.000 0.747 0.751
Hg: 0.000 0.753 0.251
Hg: 0.500 0.000 0.818
Hg: 0.500 0.225 0.589
Hg: 0.500 0.275 0.089
Hg: 0.500 0.500 0.318
Hg: 0.500 0.725 0.089
Hg: 0.500 0.775 0.589


Below is a relaxed structure of Pm3Er2Ag3, with properties calculated at the PBE level.

magnetic moment: 0.00 μB per cell
calculated formation energy: -0.20 eV per atom
space-group type: Immm

a = 3.687 Å, b = 5.378 Å, c = 21.885 Å
α = 90.00°, β = 90.00°, γ = 90.00°
Sites, in units of the cell vectors:
Pm: 0.000 0.000 0.000
Pm: 0.000 0.500 0.122
Pm: 0.000 0.500 0.878
Pm: 0.500 0.000 0.378
Pm: 0.500 0.000 0.622
Pm: 0.500 0.500 0.500
Er: 0.000 0.000 0.232
Er: 0.000 0.000 0.768
Er: 0.500 0.500 0.268
Er: 0.500 0.500 0.732
Ag: 0.000 0.000 0.500
Ag: 0.000 0.500 0.378
Ag: 0.000 0.500 0.622
Ag: 0.500 0.000 0.122
Ag: 0.500 0.000 0.878
Ag: 0.500 0.500 0.000


Below is a relaxed structure of BiAsOs2, with properties calculated at the PBE level.

magnetic moment: 0.00 μB per cell
calculated formation energy: 0.90 eV per atom
offset from the most stable computed form: 0.0 meV per atom
space-group type: Fm-3m

a = 6.527 Å, b = 6.527 Å, c = 6.527 Å
α = 90.00°, β = 90.00°, γ = 90.00°
Sites, in units of the cell vectors:
Bi: 0.000 0.000 0.000
Bi: 0.000 0.500 0.500
Bi: 0.500 0.000 0.500
Bi: 0.500 0.500 0.000
As: 0.000 0.000 0.500
As: 0.000 0.500 0.000
As: 0.500 0.000 0.000
As: 0.500 0.500 0.500
Os: 0.250 0.250 0.250
Os: 0.250 0.250 0.750
Os: 0.250 0.750 0.250
Os: 0.250 0.750 0.750
Os: 0.750 0.250 0.250
Os: 0.750 0.250 0.750
Os: 0.750 0.750 0.250
Os: 0.750 0.750 0.750


Below is a relaxed structure of VCoCu, with properties calculated at the PBE level.

magnetic moment: 0.61 μB per cell
calculated formation energy: 0.04 eV per atom
offset from the most stable computed form: 0.0 meV per atom
space-group type: P3m1

a = 4.067 Å, b = 4.067 Å, c = 2.480 Å
α = 90.00°, β = 90.00°, γ = 120.00°
Sites, in units of the cell vectors:
V: 0.000 0.000 0.000
Co: 0.667 0.333 0.251
Cu: 0.333 0.667 0.608


Below is a relaxed structure of Dy2Ga6Co, with properties calculated at the PBE level.

magnetic moment: 0.00 μB per cell
calculated formation energy: -0.55 eV per atom
offset from the most stable computed form: 0.0 meV per atom
space-group type: Fm-3m

a = 6.118 Å, b = 6.118 Å, c = 6.118 Å
α = 60.00°, β = 60.00°, γ = 60.00°
Sites, in units of the cell vectors:
Dy: 0.250 0.250 0.250
Dy: 0.750 0.750 0.750
Ga: 0.224 0.224 0.776
Ga: 0.224 0.776 0.224
Ga: 0.224 0.776 0.776
Ga: 0.776 0.224 0.224
Ga: 0.776 0.224 0.776
Ga: 0.776 0.776 0.224
Co: 0.500 0.500 0.500


Below is a relaxed structure of Li2CdGe2Pd5, with properties calculated at the PBE level.

magnetic moment: 0.00 μB per cell
calculated formation energy: -0.47 eV per atom
space-group type: P4/mbm

a = 9.416 Å, b = 9.416 Å, c = 3.750 Å
α = 90.00°, β = 90.00°, γ = 90.00°
Sites, in units of the cell vectors:
Li: 0.169 0.331 0.000
Li: 0.331 0.831 0.000
Li: 0.669 0.169 0.000
Li: 0.831 0.669 0.000
Cd: 0.000 0.000 0.000
Cd: 0.500 0.500 0.000
Ge: 0.130 0.630 0.000
Ge: 0.370 0.130 0.000
Ge: 0.630 0.870 0.000
Ge: 0.870 0.370 0.000
Pd: 0.000 0.500 0.500
Pd: 0.076 0.796 0.500
Pd: 0.204 0.076 0.500
Pd: 0.296 0.576 0.500
Pd: 0.424 0.296 0.500
Pd: 0.500 0.000 0.500
Pd: 0.576 0.704 0.500
Pd: 0.704 0.424 0.500
Pd: 0.796 0.924 0.500
Pd: 0.924 0.204 0.500


Below is a relaxed structure of BaNa3, with properties calculated at the PBE level.

magnetic moment: 0.00 μB per cell
calculated formation energy: 0.04 eV per atom
space-group type: Immm

a = 5.426 Å, b = 6.162 Å, c = 10.520 Å
α = 90.00°, β = 90.00°, γ = 90.00°
Sites, in units of the cell vectors:
Ba: 0.000 0.000 0.000
Ba: 0.500 0.500 0.500
Na: 0.000 0.000 0.500
Na: 0.000 0.500 0.235
Na: 0.000 0.500 0.765
Na: 0.500 0.000 0.265
Na: 0.500 0.000 0.735
Na: 0.500 0.500 0.000


Below is a relaxed structure of NaBi3Cl, with properties calculated at the PBE level.

magnetic moment: 0.00 μB per cell
offset from the most stable computed form: 217.1 meV per atom
space-group type: Pm-3m

a = 5.543 Å, b = 5.543 Å, c = 5.543 Å
α = 90.00°, β = 90.00°, γ = 90.00°
Sites, in units of the cell vectors:
Na: 0.000 0.000 0.000
Bi: 0.000 0.000 0.500
Bi: 0.000 0.500 0.000
Bi: 0.500 0.000 0.000
Cl: 0.500 0.500 0.500


Below is a relaxed structure of LiZrIn, with properties calculated at the PBE level.

magnetic moment: 0.00 μB per cell
calculated formation energy: -0.15 eV per atom
offset from the most stable computed form: 74.5 meV per atom
space-group type: P-6m2

a = 4.722 Å, b = 4.722 Å, c = 3.169 Å
α = 90.00°, β = 90.00°, γ = 120.00°
Sites, in units of the cell vectors:
Li: 0.000 0.000 0.000
Zr: 0.667 0.333 0.500
In: 0.333 0.667 0.000


Below is a relaxed structure of AgP2SF, with properties calculated at the PBE level.

magnetic moment: 0.00 μB per cell
offset from the most stable computed form: 0.0 meV per atom
space-group type: P4/mmm

a = 4.097 Å, b = 4.097 Å, c = 5.330 Å
α = 90.00°, β = 90.00°, γ = 90.00°
Sites, in units of the cell vectors:
Ag: 0.000 0.000 0.000
P: 0.000 0.500 0.500
P: 0.500 0.000 0.500
S: 0.500 0.500 0.000
F: 0.500 0.500 0.500


Below is a relaxed structure of K2PdCN2, with properties calculated at the PBE level.

magnetic moment: 0.00 μB per cell
E_tot: -66.81 eV/cell
space-group type: Cmcm

a = 6.792 Å, b = 6.792 Å, c = 5.655 Å
α = 90.00°, β = 90.00°, γ = 63.31°
Sites, in units of the cell vectors:
K: 0.007 0.663 0.750
K: 0.337 0.993 0.750
K: 0.663 0.007 0.250
K: 0.993 0.337 0.250
Pd: 0.500 0.500 0.000
Pd: 0.500 0.500 0.500
C: 0.237 0.763 0.250
C: 0.763 0.237 0.750
N: 0.109 0.673 0.250
N: 0.327 0.891 0.250
N: 0.673 0.109 0.750
N: 0.891 0.327 0.750


Below is a relaxed structure of EuNiSn2, with properties calculated at the PBE level.

magnetic moment: 20.95 μB per cell
calculated formation energy: -0.47 eV per atom
space-group type: R-3m

a = 4.341 Å, b = 4.341 Å, c = 17.911 Å
α = 90.00°, β = 90.00°, γ = 120.00°
Sites, in units of the cell vectors:
Eu: 0.000 0.000 0.000
Eu: 0.333 0.667 0.667
Eu: 0.667 0.333 0.333
Ni: 0.000 0.000 0.500
Ni: 0.333 0.667 0.167
Ni: 0.667 0.333 0.833
Sn: 0.000 0.000 0.217
Sn: 0.000 0.000 0.783
Sn: 0.333 0.667 0.450
Sn: 0.333 0.667 0.884
Sn: 0.667 0.333 0.116
Sn: 0.667 0.333 0.550


Below is a relaxed structure of CrNi3Se, with properties calculated at the PBE level.

magnetic moment: 1.52 μB per cell
offset from the most stable computed form: 605.7 meV per atom
space-group type: Pm-3m

a = 4.303 Å, b = 4.303 Å, c = 4.303 Å
α = 90.00°, β = 90.00°, γ = 90.00°
Sites, in units of the cell vectors:
Cr: 0.000 0.000 0.000
Ni: 0.000 0.000 0.500
Ni: 0.000 0.500 0.000
Ni: 0.500 0.000 0.000
Se: 0.500 0.500 0.500


Below is a relaxed structure of SrTl2Pd6, with properties calculated at the PBE level.

magnetic moment: 0.00 μB per cell
calculated formation energy: 0.08 eV per atom
space-group type: Fd-3m

a = 8.436 Å, b = 8.436 Å, c = 8.436 Å
α = 60.00°, β = 60.00°, γ = 60.00°
Sites, in units of the cell vectors:
Sr: 0.125 0.125 0.125
Sr: 0.875 0.875 0.875
Tl: 0.000 0.500 0.500
Tl: 0.500 0.000 0.500
Tl: 0.500 0.500 0.000
Tl: 0.500 0.500 0.500
Pd: 0.113 0.113 0.637
Pd: 0.113 0.637 0.113
Pd: 0.113 0.637 0.637
Pd: 0.363 0.363 0.887
Pd: 0.363 0.887 0.363
Pd: 0.363 0.887 0.887
Pd: 0.637 0.113 0.113
Pd: 0.637 0.113 0.637
Pd: 0.637 0.637 0.113
Pd: 0.887 0.363 0.363
Pd: 0.887 0.363 0.887
Pd: 0.887 0.887 0.363


Below is a relaxed structure of LiCa3Tl2, with properties calculated at the PBE level.

magnetic moment: 0.00 μB per cell
calculated formation energy: -0.34 eV per atom
offset from the most stable computed form: 0.0 meV per atom
space-group type: P-3m1

a = 5.480 Å, b = 5.480 Å, c = 13.393 Å
α = 90.00°, β = 90.00°, γ = 120.00°
Sites, in units of the cell vectors:
Li: 0.333 0.667 0.170
Li: 0.667 0.333 0.830
Ca: 0.000 0.000 0.251
Ca: 0.000 0.000 0.749
Ca: 0.333 0.667 0.420
Ca: 0.333 0.667 0.920
Ca: 0.667 0.333 0.080
Ca: 0.667 0.333 0.580
Tl: 0.000 0.000 0.000
Tl: 0.000 0.000 0.500
Tl: 0.333 0.667 0.676
Tl: 0.667 0.333 0.324


Below is a relaxed structure of FeMoP, with properties calculated at the PBE level.

magnetic moment: 0.00 μB per cell
calculated formation energy: 0.03 eV per atom
space-group type: P3m1

a = 2.749 Å, b = 2.749 Å, c = 5.878 Å
α = 90.00°, β = 90.00°, γ = 120.00°
Sites, in units of the cell vectors:
Fe: 0.000 0.000 0.000
Mo: 0.667 0.333 0.365
P: 0.333 0.667 0.724


Below is a relaxed structure of Sr3IrRh, with properties calculated at the PBE level.

magnetic moment: 0.00 μB per cell
calculated formation energy: 0.33 eV per atom
offset from the most stable computed form: 0.0 meV per atom
space-group type: Pm-3m

a = 5.637 Å, b = 5.637 Å, c = 5.637 Å
α = 90.00°, β = 90.00°, γ = 90.00°
Sites, in units of the cell vectors:
Sr: 0.000 0.000 0.500
Sr: 0.000 0.500 0.000
Sr: 0.500 0.000 0.000
Ir: 0.000 0.000 0.000
Rh: 0.500 0.500 0.500


Below is a relaxed structure of AcHfHg2, with properties calculated at the PBE level.

magnetic moment: 0.18 μB per cell
calculated formation energy: -0.13 eV per atom
offset from the most stable computed form: 0.0 meV per atom
space-group type: P4/mmm

a = 3.658 Å, b = 3.658 Å, c = 7.904 Å
α = 90.00°, β = 90.00°, γ = 90.00°
Sites, in units of the cell vectors:
Ac: 0.000 0.000 0.000
Hf: 0.000 0.000 0.500
Hg: 0.500 0.500 0.297
Hg: 0.500 0.500 0.703


Below is a relaxed structure of KAg2Au, with properties calculated at the PBE level.

magnetic moment: 0.00 μB per cell
calculated formation energy: 0.06 eV per atom
offset from the most stable computed form: 164.6 meV per atom
space-group type: P4mm

a = 3.438 Å, b = 3.438 Å, c = 8.064 Å
α = 90.00°, β = 90.00°, γ = 90.00°
Sites, in units of the cell vectors:
K: 0.000 0.000 0.000
Ag: 0.000 0.000 0.514
Ag: 0.500 0.500 0.326
Au: 0.500 0.500 0.706


Below is a relaxed structure of LiCrCl4, with properties calculated at the PBE level.

magnetic moment: 6.51 μB per cell
offset from the most stable computed form: 1583.0 meV per atom
space-group type: F-43m

a = 5.975 Å, b = 5.975 Å, c = 5.975 Å
α = 60.00°, β = 60.00°, γ = 60.00°
Sites, in units of the cell vectors:
Li: 0.000 0.000 0.000
Cr: 0.250 0.250 0.250
Cl: 0.126 0.625 0.625
Cl: 0.625 0.126 0.625
Cl: 0.625 0.625 0.126
Cl: 0.625 0.625 0.625


Below is a relaxed structure of CaBe2As, with properties calculated at the PBE level.

magnetic moment: 0.00 μB per cell
calculated formation energy: -0.02 eV per atom
space-group type: Imm2

a = 3.542 Å, b = 3.714 Å, c = 10.835 Å
α = 90.00°, β = 90.00°, γ = 90.00°
Sites, in units of the cell vectors:
Ca: 0.000 0.000 0.000
Ca: 0.500 0.500 0.500
Be: 0.000 0.000 0.364
Be: 0.000 0.500 0.272
Be: 0.500 0.000 0.772
Be: 0.500 0.500 0.864
As: 0.000 0.500 0.734
As: 0.500 0.000 0.234


Below is a relaxed structure of Pm2ThRu, with properties calculated at the PBE level.

magnetic moment: 0.00 μB per cell
calculated formation energy: 0.23 eV per atom
offset from the most stable computed form: 511.3 meV per atom
space-group type: R-3m

a = 3.498 Å, b = 3.498 Å, c = 32.915 Å
α = 90.00°, β = 90.00°, γ = 120.00°
Sites, in units of the cell vectors:
Pm: 0.000 0.000 0.106
Pm: 0.000 0.000 0.894
Pm: 0.333 0.667 0.561
Pm: 0.333 0.667 0.773
Pm: 0.667 0.333 0.227
Pm: 0.667 0.333 0.439
Th: 0.000 0.000 0.000
Th: 0.333 0.667 0.667
Th: 0.667 0.333 0.333
Ru: 0.000 0.000 0.500
Ru: 0.333 0.667 0.167
Ru: 0.667 0.333 0.833